[1]
Computed, not measured: a geometry-optimized Si3AsPt structure at the PBE level of DFT.

Results
- ΔE_f (raw): 0.503 eV per atom

Cell: 4.700 4.700 4.700 Å, 90.00 90.00 90.00°
Atoms (fractional coordinates):
Si  0.000  0.000  0.500
Si  0.000  0.500  0.000
Si  0.500  0.000  0.000
As  0.500  0.500  0.500
Pt  0.000  0.000  0.000

---

[2]
Computed, not measured: a geometry-optimized Ba4PmPb3O12 structure at the PBE level of DFT.

Results
- ΔE_f (raw): -1.917 eV per atom

Cell: 7.623 7.623 7.623 Å, 109.47 109.47 109.47°
Atoms (fractional coordinates):
Ba  0.000  0.000  0.500
Ba  0.000  0.500  0.000
Ba  0.500  0.000  0.000
Ba  0.500  0.500  0.500
Pm  0.000  0.000  0.000
Pb  0.000  0.500  0.500
Pb  0.500  0.000  0.500
Pb  0.500  0.500  0.000
O  0.000  0.258  0.258
O  0.000  0.742  0.742
O  0.250  0.500  0.750
O  0.250  0.750  0.500
O  0.258  0.000  0.258
O  0.258  0.258  0.000
O  0.500  0.250  0.750
O  0.500  0.750  0.250
O  0.742  0.000  0.742
O  0.742  0.742  0.000
O  0.750  0.250  0.500
O  0.750  0.500  0.250

---

[3]
Computed, not measured: a geometry-optimized Hg3TeBr structure at the PBE level of DFT.

Results
- ΔE_f (raw): -0.031 eV per atom

Cell: 5.780 5.780 5.780 Å, 90.00 90.00 90.00°
Atoms (fractional coordinates):
Hg  0.000  0.000  0.500
Hg  0.000  0.500  0.000
Hg  0.500  0.000  0.000
Te  0.000  0.000  0.000
Br  0.500  0.500  0.500

---

Question: The lowest ΔE_f (raw) belongs to which entry?
Answer: Ba4PmPb3O12